(1)
Material: PuPaBiAu
Method: DFT, PBE-GGA
State: relaxed

Output
Spin magnetization (μB per formula unit): 8.75
Space-group type: F-43m (216)
ΔE_f (eV/atom): -0.19

Cell lengths 5.3177, 5.3177, 5.3177 Å; angles 60.00, 60.00, 60.00 degrees
Site moments in Bohr magnetons follow the coordinates.
Element x y z (fractional)
Bi: 0.2500 0.2500 0.2500  -0.02
Pa: 0.5000 0.5000 0.5000  1.71
Au: 0.7500 0.7500 0.7500  0.09
Pu: 0.0000 0.0000 0.0000  5.70

(2)
Material: KBr2
Method: DFT, PBE-GGA
State: relaxed

Output
Distance to the lowest polymorph of the same formula (eV/atom): 0.164
ΔE_f (raw) (meV per atom): -993
Spin magnetization (μB per formula unit): 1.01
Space-group type: I4/mcm (140)

Cell lengths 6.6125, 6.6125, 6.6125 Å; angles 115.31, 115.31, 98.33 degrees
Site moments in Bohr magnetons follow the coordinates.
Element x y z (fractional)
Br: 0.8544 0.6456 0.5000  0.38
Br: 0.6456 0.1456 0.7912  0.38
Br: 0.3544 0.8544 0.2088  0.38
Br: 0.1456 0.3544 0.5000  0.38
K: 0.2500 0.2500 0.0000  0.00
K: 0.7500 0.7500 0.0000  0.00

(3)
Material: AcPrHgBi
Method: DFT, PBE-GGA
State: relaxed

Output
Spin magnetization (μB per formula unit): 0.00
Space-group type: F-43m (216)
ΔE_f (eV/atom): -0.57

Cell lengths 5.6914, 5.6914, 5.6914 Å; angles 60.00, 60.00, 60.00 degrees
Element x y z (fractional)
Hg: 0.7500 0.7500 0.7500
Pr: 0.5000 0.5000 0.5000
Bi: 0.2500 0.2500 0.2500
Ac: 0.0000 0.0000 0.0000